No. 1
# PBE-GGA SiAsBr, optimized geometry
data_SiAsBr
_chemical_formula_sum 'Si4 As4 Br4'
_cell_length_a 3.500
_cell_length_b 6.238
_cell_length_c 14.774
_cell_angle_alpha 90.00
_cell_angle_beta 90.00
_cell_angle_gamma 90.00
_symmetry_space_group_name_H-M 'F m m 2'
_symmetry_Int_Tables_number 42
_symmetry_space_group_name_Hall 'F 2 -2'
loop_
_atom_site_label
_atom_site_type_symbol
_atom_site_fract_x
_atom_site_fract_y
_atom_site_fract_z
Si1 Si 0.000 0.000 0.000
As1 As 0.000 0.000 0.393
Br1 Br 0.000 0.000 0.637
# Raw formation energy = 0.339 eV per atom
# ΔE to the lowest computed polymorph = 667 meV/atom
# Crystal system = orthorhombic

No. 2
# PBE-GGA SiAsBr2, optimized geometry
data_SiAsBr2
_chemical_formula_sum 'Si2 As2 Br4'
_cell_length_a 4.474
_cell_length_b 4.474
_cell_length_c 8.949
_cell_angle_alpha 90.00
_cell_angle_beta 90.00
_cell_angle_gamma 90.00
_symmetry_space_group_name_H-M 'I -4 m 2'
_symmetry_Int_Tables_number 119
_symmetry_space_group_name_Hall 'I -4 -2'
loop_
_atom_site_label
_atom_site_type_symbol
_atom_site_fract_x
_atom_site_fract_y
_atom_site_fract_z
Si1 Si 0.000 0.000 0.000
As1 As 0.000 0.500 0.750
Br1 Br 0.000 0.000 0.500
Br2 Br 0.000 0.500 0.250
# Raw formation energy = 0.683 eV per atom
# ΔE to the lowest computed polymorph = 881 meV/atom
# Crystal system = tetragonal

No. 3
# PBE-GGA SiAsBr, optimized geometry
data_SiAsBr
_chemical_formula_sum 'Si4 As4 Br4'
_cell_length_a 6.621
_cell_length_b 6.621
_cell_length_c 6.621
_cell_angle_alpha 90.00
_cell_angle_beta 90.00
_cell_angle_gamma 90.00
_symmetry_space_group_name_H-M 'F -4 3 m'
_symmetry_Int_Tables_number 216
_symmetry_space_group_name_Hall 'F -4 2 3'
loop_
_atom_site_label
_atom_site_type_symbol
_atom_site_fract_x
_atom_site_fract_y
_atom_site_fract_z
Si1 Si 0.000 0.000 0.000
As1 As 0.250 0.250 0.250
Br1 Br 0.000 0.000 0.500
# Raw formation energy = 0.596 eV per atom
# ΔE to the lowest computed polymorph = 924 meV/atom
# Crystal system = cubic